[1]
A relaxed structure of K2LiAg2, computed with PBE.

Properties
N(E_F)	3.87	states/eV/cell
M_tot	0.000	μB/atom
volume	316.1	Å³ per cell
excess energy over the best structure of this formula in the dataset	0.000	eV per formula unit
energy	-18.95	eV/cell

Lattice parameters (Å, degrees): 7.636 7.636 5.421 90.00 90.00 90.00
Atoms (fractional coordinates):
K1 0.171 0.671 0.500
K2 0.671 0.829 0.500
K3 0.829 0.329 0.500
K4 0.329 0.171 0.500
Ag1 0.368 0.868 0.000
Ag2 0.868 0.632 0.000
Ag3 0.632 0.132 0.000
Ag4 0.132 0.368 0.000
Li1 0.000 0.000 0.000
Li2 0.500 0.500 0.000

=====

[2]
A relaxed structure of Li2AsPt5, computed with PBE.

Properties
N(E_F)	6.36	states/eV/cell
M_tot	0.000	μB/atom
volume	230.9	Å³ per cell
energy	-85.58	eV/cell

Lattice parameters (Å, degrees): 3.975 5.467 10.624 90.00 90.00 90.00
Atoms (fractional coordinates):
Li1 0.500 0.303 0.362
Li2 0.500 0.697 0.638
Li3 0.500 0.197 0.862
Li4 0.500 0.803 0.138
As1 0.000 0.000 0.500
As2 0.000 0.500 0.000
Pt1 0.500 0.286 0.113
Pt2 0.500 0.714 0.887
Pt3 0.500 0.786 0.387
Pt4 0.500 0.214 0.613
Pt5 0.000 0.951 0.742
Pt6 0.000 0.049 0.258
Pt7 0.000 0.451 0.758
Pt8 0.000 0.549 0.242
Pt9 0.000 0.500 0.500
Pt10 0.000 0.000 0.000

=====

[3]
A relaxed structure of GeRuRh, computed with PBE.

Properties
N(E_F)	3.80	states/eV/cell
M_tot	0.000	μB/atom
volume	85.6	Å³ per cell
excess energy over the best structure of this formula in the dataset	0.088	eV per formula unit
energy	-43.74	eV/cell

Lattice parameters (Å, degrees): 4.689 2.846 6.466 90.00 97.50 90.00
Atoms (fractional coordinates):
Ge1 0.829 0.000 0.568
Ge2 0.395 0.000 0.941
Ru1 0.609 0.500 0.240
Ru2 0.118 0.000 0.274
Rh1 0.919 0.500 0.900
Rh2 0.377 0.500 0.614

=====

[4]
A relaxed structure of Rb2FeHS, computed with PBE.

Properties
N(E_F)	2.18	states/eV/cell
M_tot	0.618	μB/atom
volume	135.6	Å³ per cell
energy	-16.24	eV/cell

Lattice parameters (Å, degrees): 6.187 3.542 6.187 90.00 90.00 90.00
Each line ends with the local moment (μB).
Atoms (fractional coordinates):
H1 0.000 0.000 0.000  -0.04
S1 0.000 0.500 0.000  0.00
Fe1 0.500 0.500 0.500  3.04
Rb1 0.000 0.000 0.500  -0.01
Rb2 0.500 0.000 0.000  0.00

=====

[5]
A relaxed structure of PuSnO, computed with PBE.

Properties
N(E_F)	5.03	states/eV/cell
M_tot	1.468	μB/atom
volume	67.5	Å³ per cell
E_form (uncorrected)	-1.545	eV per atom
excess energy over the best structure of this formula in the dataset	0.971	eV per formula unit
energy	-27.93	eV/cell

Lattice parameters (Å, degrees): 5.551 3.748 3.748 120.00 90.00 90.00
Each line ends with the local moment (μB).
Atoms (fractional coordinates):
Sn1 0.667 0.333 0.667  -0.12
O1 0.167 0.000 0.000  -0.18
Pu1 0.167 0.667 0.333  4.68

=====

[6]
A relaxed structure of PrH8Os2, computed with PBE.

Properties
N(E_F)	2.05	states/eV/cell
M_tot	0.000	μB/atom
volume	100.2	Å³ per cell
energy	-54.84	eV/cell

Lattice parameters (Å, degrees): 4.755 4.650 4.650 102.92 89.93 89.93
Atoms (fractional coordinates):
Pr1 0.091 0.166 0.166
H1 0.354 0.035 0.705
H2 0.354 0.705 0.035
H3 0.845 0.543 0.543
H4 0.830 0.037 0.704
H5 0.830 0.704 0.037
H6 0.335 0.542 0.542
H7 0.591 0.294 0.027
H8 0.591 0.027 0.294
Os1 0.591 0.639 0.275
Os2 0.591 0.275 0.639